# 1
VASP calculation (GGA-PBE) on KScCr2 after structural relaxation.

Lattice parameters (Å, degrees): 6.1832 6.1832 6.1832 149.38 125.37 63.94
Atoms (fractional coordinates):
Cr1 0.0250 0.0250 0.0000
K1 0.7500 0.2500 0.5000
Sc1 0.2500 0.7500 0.5000
Cr2 0.4750 0.4750 0.0000

## Properties
Space-group type: Immm, No. 71
E above lowest polymorph (eV per atom): 0.652
Energy of formation from the pure elements (eV per atom): 1.2151
Uncorrected energy (eV per atom): -5.454
N(E_F) (states/eV/f.u.): 4.070

***

# 2
VASP calculation (GGA-PBE) on KSc2Cr after structural relaxation.

Lattice parameters (Å, degrees): 5.6478 5.6478 3.3518 90.00 90.00 105.95
Atoms (fractional coordinates):
Cr1 0.5000 0.0000 0.5000
K1 0.0000 0.5000 0.5000
Sc1 0.0000 0.0000 0.0000
Sc2 0.5000 0.5000 0.0000

## Properties
Space-group type: Cmmm, No. 65
E above lowest polymorph (eV per atom): 0.565
Energy of formation from the pure elements (eV per atom): 0.9309
Uncorrected energy (eV per atom): -4.915
N(E_F) (states/eV/f.u.): 5.101

***

# 3
VASP calculation (GGA-PBE) on KScCr after structural relaxation.

Lattice parameters (Å, degrees): 5.2490 5.2490 5.2490 60.00 60.00 60.00
Atoms (fractional coordinates):
Sc1 0.0000 0.0000 0.0000
Cr1 0.5000 0.5000 0.5000
K1 0.7500 0.7500 0.7500

## Properties
Space-group type: F-43m, No. 216
E above lowest polymorph (eV per atom): 0.986
Energy of formation from the pure elements (eV per atom): 1.7307
Uncorrected energy (eV per atom): -3.953
N(E_F) (states/eV/f.u.): 5.013

***

# 4
VASP calculation (GGA-PBE) on KScCr after structural relaxation.

Lattice parameters (Å, degrees): 8.0376 8.0376 8.0376 155.73 155.73 34.59
Atoms (fractional coordinates):
K1 0.3481 0.3481 0.0000
Cr1 0.0258 0.0258 0.0000
Sc1 0.6261 0.6261 0.0000

## Properties
Space-group type: I4mm, No. 107
E above lowest polymorph (eV per atom): 0.000
Energy of formation from the pure elements (eV per atom): 0.7449
Uncorrected energy (eV per atom): -4.939
N(E_F) (states/eV/f.u.): 3.317